A geometry-optimized SrMgCdSn2 structure, computed with GGA-PBE.

Cell: 4.734 4.734 7.218 Å, 109.14 109.14 90.00°
Element x y z (fractional)
Sr 0.000 0.000 0.000
Mg 0.750 0.250 0.500
Cd 0.250 0.750 0.500
Sn 0.613 0.613 0.227
Sn 0.387 0.387 0.773

**Raw total energy**: -14.11 eV/f.u.
**Spin magnetization**: 0.00 μB/f.u.
**ΔH_f (0 K)**: -0.38 eV/atom

=====

A geometry-optimized LiCo2As structure, computed with GGA-PBE.

Cell: 4.370 4.370 4.370 Å, 130.89 130.87 72.00°
Site moments in Bohr magnetons follow the coordinates.
Element x y z (fractional)
As 0.250 0.750 0.500  0.00
Co 0.000 0.000 0.000  1.10
Co 0.750 0.250 0.500  1.33
Li 0.500 0.500 0.000  -0.02

**Raw total energy**: -21.13 eV/f.u.
**Spin magnetization**: 2.38 μB/f.u.
**ΔH_f (0 K)**: -0.09 eV/atom

=====

A geometry-optimized KMn2Ir structure, computed with GGA-PBE.

Cell: 4.281 2.868 7.739 Å, 79.60 90.00 90.00°
Site moments in Bohr magnetons follow the coordinates.
Element x y z (fractional)
Ir 0.000 0.508 0.364  0.29
K 0.500 0.817 0.731  0.01
Mn 0.000 0.143 0.087  3.93
Mn 0.500 0.032 0.318  3.52

**Raw total energy**: -26.03 eV/f.u.
**Spin magnetization**: 8.37 μB/f.u.
**Energy relative to the lowest polymorph listed for this composition**: 28 kJ/mol of formula units
**ΔH_f (0 K)**: 0.57 eV/atom

=====

- spin magnetization of number 1 (SrMgCdSn2)?
  0.00 μB/f.u.